A plane-wave DFT calculation with PBE was carried out for an optimized crystal structure of NdCdPdO4.

Values from the calculation:
**Symmetry**: Imma, No. 74
**E_form (uncorrected)**: -1017 kJ/mol of formula units
**E**: -82.496 eV for the cell shown

Lattice parameters (Å, degrees): 6.531 6.531 6.531 113.81 113.19 101.68
Element x y z (fractional)
Nd 0.000 0.000 0.000
Nd 0.500 0.000 0.500
Cd 0.334 0.584 0.750
Cd 0.666 0.416 0.250
Pd 0.000 0.000 0.500
Pd 0.000 0.500 0.000
O 0.154 0.715 0.439
O 0.224 0.285 0.939
O 0.248 0.211 0.463
O 0.248 0.785 0.037
O 0.752 0.215 0.963
O 0.752 0.789 0.537
O 0.776 0.715 0.061
O 0.846 0.285 0.561